CaDyGaPt | PBE-GGA | optimized geometry Values from VASP.

Calculated values
Magnetic moment   0.00 μB per formula unit
ΔH_f (0 K)   -3.07 eV/f.u.

Cell and atoms, written as Quantum ESPRESSO input:
```
&SYSTEM
  ibrav = 0, nat = 4, ntyp = 4
/
ATOMIC_SPECIES
Dy 162.50 Dy.upf
Pt 195.08 Pt.upf
Ga 69.72 Ga.upf
Ca 40.08 Ca.upf
CELL_PARAMETERS angstrom
5.009 0.000 0.000
2.505 4.338 0.000
2.505 1.446 4.090
ATOMIC_POSITIONS crystal
Dy 0.750 0.750 0.750
Pt 0.500 0.500 0.500
Ga 0.000 0.000 0.000
Ca 0.250 0.250 0.250
```